Compound: BaAlMoO6
Source: the Alexandria database
Functional: GGA+U
Structure: optimized geometry

For the total magnetization, the calculation gives 0.115 μB/atom. The calculation puts the total DFT energy (no corrections) at -6.8627 eV per atom.

It has space group C2 (No. 5), with a = 5.235 Å, b = 9.225 Å, c = 5.584 Å, α = 90.00°, β = 90.42° and γ = 90.00°. Symmetry generates all atoms from Ba at (0.000, 0.000, 0.000), Al at (0.000, 0.684, 0.500), Mo at (0.000, 0.325, 0.500), O at (0.097, 0.511, 0.669), O at (0.199, 0.208, 0.705) and O at (0.199, 0.805, 0.695).